Here is Cs2MgPd after structural relaxation from Alexandria via LeMat-Bulk. Energies are from PBE.

Unit cell a=8.8231 b=8.8231 c=8.8231 alpha=90.00 beta=90.00 gamma=90.00
Space group Fm-3m (No. 225)
Inequivalent atoms, fractional coordinates:
Cs: 0.2500 0.2500 0.2500 x8
Mg: 0.0000 0.0000 0.0000 x4
Pd: 0.0000 0.0000 0.5000 x4

**Excess energy over the best structure of this formula in the dataset**: 273.3 meV per atom
**E_form**: 0.3205 eV/atom
**Density of states at the Fermi level**: 0.053 states/eV/atom

Here is Cs2MgPd after structural relaxation from Alexandria via LeMat-Bulk. Energies are from PBE.

Unit cell a=13.0829 b=13.0829 c=5.2344 alpha=90.00 beta=90.00 gamma=90.00
Space group I-42d (No. 122)
Inequivalent atoms, fractional coordinates:
Cs: 0.0753 0.2500 0.1250 x8
Mg: 0.0000 0.0000 0.5000 x4
Pd: 0.0000 0.0000 0.0000 x4

**Excess energy over the best structure of this formula in the dataset**: 0.0 meV per atom
**E_form**: 0.0471 eV/atom
**Density of states at the Fermi level**: 0.136 states/eV/atom

Here is CsMgPd3 after structural relaxation from Alexandria via LeMat-Bulk. Energies are from PBE.

Unit cell a=4.9939 b=4.9939 c=4.9939 alpha=90.00 beta=90.00 gamma=90.00
Space group Pm-3m (No. 221)
Inequivalent atoms, fractional coordinates:
Cs: 0.0000 0.0000 0.0000 x1
Mg: 0.5000 0.5000 0.5000 x1
Pd: 0.0000 0.5000 0.5000 x3

**Excess energy over the best structure of this formula in the dataset**: 0.0 meV per atom
**E_form**: 0.2498 eV/atom
**Density of states at the Fermi level**: 0.349 states/eV/atom

Here is CsMgPd3 after structural relaxation from Alexandria via LeMat-Bulk. Energies are from PBE.

Unit cell a=5.3424 b=5.3424 c=5.3424 alpha=90.00 beta=90.00 gamma=90.00
Space group Pm-3m (No. 221)
Inequivalent atoms, fractional coordinates:
Cs: 0.0000 0.0000 0.0000 x1
Mg: 0.5000 0.5000 0.5000 x1
Pd: 0.0000 0.0000 0.5000 x3

**Excess energy over the best structure of this formula in the dataset**: 966.4 meV per atom
**E_form**: 1.2162 eV/atom
**Density of states at the Fermi level**: 0.592 states/eV/atom

Here is CsRbMgPd2 after structural relaxation from Alexandria via LeMat-Bulk. Energies are from PBE.

Unit cell a=5.6059 b=5.6059 c=6.6340 alpha=90.00 beta=90.00 gamma=90.00
Space group P4/mmm (No. 123)
Inequivalent atoms, fractional coordinates:
Cs: 0.0000 0.0000 0.0000 x1
Rb: 0.0000 0.0000 0.5000 x1
Mg: 0.5000 0.5000 0.5000 x1
Pd: 0.0000 0.5000 0.0000 x2

**E_form**: 0.9078 eV/atom
**Density of states at the Fermi level**: 0.214 states/eV/atom

Here is CsSrMg2Pd after structural relaxation from Alexandria via LeMat-Bulk. Energies are from PBE.

Unit cell a=5.4722 b=5.4722 c=5.8168 alpha=90.00 beta=90.00 gamma=90.00
Space group P4/mmm (No. 123)
Inequivalent atoms, fractional coordinates:
Cs: 0.0000 0.0000 0.0000 x1
Sr: 0.5000 0.5000 0.0000 x1
Mg: 0.0000 0.5000 0.5000 x2
Pd: 0.5000 0.5000 0.5000 x1

**E_form**: -0.1358 eV/atom
**Density of states at the Fermi level**: 0.575 states/eV/atom